[1]
V3Os GGA-PBE relaxed; total DFT energy (no corrections) = -10.00 eV/atom; volume = 13.48 Å³/atom
1.0
-2.105 -3.539 -1.012
1.442 -2.513 -3.096
1.650 -3.791 0.942
Os V
1 3
direct
0.000 0.000 0.000
0.250 0.250 0.250
0.750 0.750 0.750
0.500 0.500 0.500

***

[2]
V4Os GGA-PBE relaxed; ΔE to the lowest computed polymorph = 1.5256 eV/atom; volume = 19.69 Å³/atom
1.0
-3.607 -2.879 -0.142
1.129 -1.201 -4.313
2.652 -3.404 1.643
V Os
4 1
direct
0.000 0.500 0.500
0.500 0.000 0.500
0.000 0.000 0.000
0.500 0.500 0.000
0.500 0.500 0.500

***

[3]
VOs GGA-PBE relaxed; total DFT energy (no corrections) = -9.68 eV/atom; volume = 14.91 Å³/atom
1.0
-0.545 0.252 2.714
-4.409 -0.218 -0.865
0.142 -4.745 0.470
V Os
2 2
direct
0.000 0.500 0.500
0.500 0.000 0.000
0.500 0.000 0.500
0.000 0.500 0.000

***

[4]
VOs GGA-PBE relaxed; total DFT energy (no corrections) = -10.17 eV/atom; volume = 14.05 Å³/atom
1.0
-0.357 -1.973 -1.896
2.447 1.251 0.245
1.219 -2.941 2.831
V Os
1 1
direct
0.667 0.333 0.000
0.000 0.000 0.500

***

[5]
V4Os GGA-PBE relaxed; ΔE to the lowest computed polymorph = 0.0000 eV/atom; volume = 13.47 Å³/atom
1.0
3.993 1.005 -0.961
0.803 4.843 -0.902
-1.054 -0.927 3.988
V Os
4 1
direct
0.198 0.406 0.802
0.802 0.594 0.198
0.401 0.799 0.599
0.599 0.201 0.401
0.000 0.000 0.000

***

[6]
VOs GGA-PBE relaxed; total DFT energy (no corrections) = -10.39 eV/atom; volume = 13.78 Å³/atom
1.0
-0.096 1.864 2.374
-2.763 0.902 -0.821
-1.216 -2.199 1.678
Os V
1 1
direct
0.000 0.000 0.000
0.500 0.500 0.500

***

[7]
V5OsW4 GGA-PBE relaxed; total DFT energy (no corrections) = -11.02 eV/atom; volume = 14.49 Å³/atom
1.0
3.068 0.000 0.000
0.000 3.068 0.000
0.000 0.000 15.393
W V Os
4 5 1
direct
0.000 0.000 0.802
0.000 0.000 0.399
0.000 0.000 0.601
0.000 0.000 0.198
0.500 0.500 0.098
0.500 0.500 0.298
0.500 0.500 0.702
0.500 0.500 0.902
0.500 0.500 0.500
0.000 0.000 0.000

***

[8]
V4OsW2 GGA-PBE relaxed; total DFT energy (no corrections) = -10.33 eV/atom; volume = 15.71 Å³/atom
1.0
4.924 -0.041 -1.758
-2.466 4.280 -1.712
-0.024 0.041 5.228
W Os V
2 1 4
direct
0.500 0.000 0.500
0.500 0.500 0.000
0.000 0.000 0.000
0.000 0.000 0.500
0.000 0.500 0.000
0.500 0.500 0.500
0.500 0.000 0.000